a:
Material: Hg3IrF
Method: DFT, GGA-PBE
State: optimized geometry

a = 5.2380 Å, b = 5.2380 Å, c = 5.2380 Å
α = 90.00°, β = 90.00°, γ = 90.00°
Closest atoms and distances in Å follow each position.
Element x y z (fractional)
Hg 0.0000 0.0000 0.5000  2 Ir 2.62
Hg 0.0000 0.5000 0.0000  2 Ir 2.62
Hg 0.5000 0.0000 0.0000  2 Ir 2.62
Ir 0.0000 0.0000 0.0000  6 Hg 2.62
F 0.5000 0.5000 0.5000  12 Hg 3.70

M_tot: 0.00 Bohr magnetons per cell
calculated volume: 28.7 Å³ per atom
space group: Pm-3m (221)


b:
Material: Hg3IrF
Method: DFT, GGA-PBE
State: optimized geometry

a = 4.6613 Å, b = 4.6613 Å, c = 4.6613 Å
α = 90.00°, β = 90.00°, γ = 90.00°
Closest atoms and distances in Å follow each position.
Element x y z (fractional)
Hg 0.0000 0.0000 0.5000  2 F 2.33
Hg 0.0000 0.5000 0.0000  2 F 2.33
Hg 0.5000 0.0000 0.0000  2 F 2.33
Ir 0.5000 0.5000 0.5000  12 Hg 3.30
F 0.0000 0.0000 0.0000  6 Hg 2.33

M_tot: 0.00 Bohr magnetons per cell
calculated volume: 20.3 Å³ per atom
space group: Pm-3m (221)


Most favorable first, least favorable last: a, b


a:
Material: HgIrNF2
Method: DFT, GGA-PBE
State: optimized geometry

a = 4.4429 Å, b = 4.4429 Å, c = 3.7302 Å
α = 90.00°, β = 90.00°, γ = 90.00°
Closest atoms and distances in Å follow each position.
Element x y z (fractional)
Hg 0.0000 0.0000 0.0000  8 F 2.90, 4 N 3.14
Ir 0.5000 0.5000 0.5000  2 N 1.87
N 0.5000 0.5000 0.0000  2 Ir 1.87
F 0.0000 0.5000 0.5000  2 Ir 2.22
F 0.5000 0.0000 0.5000  2 Ir 2.22

M_tot: 0.00 Bohr magnetons per cell
calculated volume: 14.7 Å³ per atom
space group: P4/mmm (123)


b:
Material: HgIrNF2
Method: DFT, GGA-PBE
State: optimized geometry

a = 4.4879 Å, b = 4.4879 Å, c = 4.1952 Å
α = 90.00°, β = 90.00°, γ = 90.00°
Closest atoms and distances in Å follow each position.
Element x y z (fractional)
Hg 0.0000 0.0000 0.0000  2 N 2.10, 4 F 2.24
Ir 0.5000 0.5000 0.5000  8 F 3.07, 4 N 3.17
N 0.0000 0.0000 0.5000  2 Hg 2.10
F 0.0000 0.5000 0.0000  2 Hg 2.24
F 0.5000 0.0000 0.0000  2 Hg 2.24

M_tot: 3.59 Bohr magnetons per cell
calculated volume: 16.9 Å³ per atom
space group: P4/mmm (123)


Most favorable first, least favorable last: a, b


a:
Material: HgIrOF2
Method: DFT, GGA-PBE
State: optimized geometry

a = 4.4666 Å, b = 4.4666 Å, c = 4.2380 Å
α = 90.00°, β = 90.00°, γ = 90.00°
Closest atoms and distances in Å follow each position.
Element x y z (fractional)
Hg 0.0000 0.0000 0.0000  2 O 2.12, 4 F 2.23
Ir 0.5000 0.5000 0.5000  8 F 3.08, 4 O 3.16
O 0.0000 0.0000 0.5000  2 Hg 2.12
F 0.0000 0.5000 0.0000  2 Hg 2.23
F 0.5000 0.0000 0.0000  2 Hg 2.23

M_tot: 2.75 Bohr magnetons per cell
calculated volume: 16.9 Å³ per atom
space group: P4/mmm (123)


b:
Material: HgIrOF2
Method: DFT, GGA-PBE
State: optimized geometry

a = 4.4898 Å, b = 4.4898 Å, c = 3.7255 Å
α = 90.00°, β = 90.00°, γ = 90.00°
Closest atoms and distances in Å follow each position.
Element x y z (fractional)
Hg 0.0000 0.0000 0.0000  8 F 2.92, 4 O 3.17
Ir 0.5000 0.5000 0.5000  2 O 1.86
O 0.5000 0.5000 0.0000  2 Ir 1.86
F 0.0000 0.5000 0.5000  2 Ir 2.24
F 0.5000 0.0000 0.5000  2 Ir 2.24

M_tot: 0.00 Bohr magnetons per cell
calculated volume: 15.0 Å³ per atom
space group: P4/mmm (123)


Most favorable first, least favorable last: b, a